This record from Alexandria via LeMat-Bulk describes a PBEsol-optimized structure of TcNiNF2. The functional is SCAN.

Summary:
formation energy (no corrections): -1.96 eV/f.u.
raw total energy: -13.9138 eV per atom
excess energy over the best structure of this formula in the dataset: 0.000 eV per atom

Cell: 4.0099 4.0099 3.7587 Å, 90.00 90.00 90.00°
Last column: nearest neighbours and their distance in Å.
Space group P4/mmm (No. 123)
One atom of each set of equivalent atoms:
Tc 0.0000 0.0000 0.0000 x1  2 N 1.88, 4 F 2.00
Ni 0.5000 0.5000 0.5000 x1  8 F 2.75, 4 N 2.84
N 0.0000 0.0000 0.5000 x1  2 Tc 1.88
F 0.0000 0.5000 0.0000 x2  2 Tc 2.00